# SrTlBi2, PBEsol geometry, DFT meta-GGA SCAN
data_SrTlBi2
_cell_length_a 7.999
_cell_length_b 7.999
_cell_length_c 7.999
_cell_angle_alpha 90.00
_cell_angle_beta 90.00
_cell_angle_gamma 90.00
_space_group_name_H-M_alt 'F m -3 m'
_space_group_IT_number 225
_space_group_name_Hall '-F 4 2 3'
loop_
_atom_site_label
_atom_site_fract_x
_atom_site_fract_y
_atom_site_fract_z
Sr1 0.000 0.000 0.000
Tl1 0.000 0.000 0.500
Bi1 0.250 0.250 0.250
# Energy of formation = -1.26 eV per formula unit